CaScGaPt2: relaxed, PBE.

Lattice parameters (Å, degrees): 6.677 6.677 6.677 143.79 143.79 52.13
Sites, in units of the cell vectors:
Ca 0.000 0.000 0.000
Sc 0.250 0.750 0.500
Ga 0.750 0.250 0.500
Pt 0.389 0.389 0.000
Pt 0.611 0.611 0.000

Values from the calculation:
E   -5.69 eV per atom
Energy of formation   -5.00 eV/f.u.
Space-group type   No. 119

=====

Ca2ScGa3Pt4: relaxed, PBE.

Lattice parameters (Å, degrees): 4.157 4.157 11.380 90.00 90.00 90.00
Sites, in units of the cell vectors:
Ca 0.000 0.500 0.237
Ca 0.500 0.000 0.763
Sc 0.000 0.000 0.500
Ga 0.000 0.500 0.869
Ga 0.500 0.000 0.131
Ga 0.500 0.500 0.500
Pt 0.000 0.000 0.000
Pt 0.000 0.500 0.648
Pt 0.500 0.000 0.352
Pt 0.500 0.500 0.000

Values from the calculation:
E   -5.31 eV per atom
Energy of formation   -9.48 eV/f.u.
Space-group type   No. 115

=====

Ca2GaSi3Pt4: relaxed, PBE.

Lattice parameters (Å, degrees): 4.206 4.206 10.187 90.00 90.00 90.00
Sites, in units of the cell vectors:
Ca 0.000 0.500 0.248
Ca 0.500 0.000 0.752
Ga 0.500 0.500 0.000
Si 0.000 0.000 0.000
Si 0.000 0.500 0.630
Si 0.500 0.000 0.370
Pt 0.000 0.000 0.500
Pt 0.000 0.500 0.864
Pt 0.500 0.000 0.136
Pt 0.500 0.500 0.500

Values from the calculation:
Raw formation energy   -9.5 eV/f.u.
E   -5.69 eV per atom
Space-group type   No. 115

=====

Ca2Sm2GaPt4: relaxed, PBE.

Lattice parameters (Å, degrees): 6.566 6.566 6.566 115.61 115.61 97.79
Sites, in units of the cell vectors:
Ca 0.250 0.750 0.500
Ca 0.750 0.250 0.500
Sm 0.179 0.179 0.000
Sm 0.821 0.821 0.000
Ga 0.500 0.500 0.000
Pt 0.248 0.248 0.496
Pt 0.248 0.752 0.000
Pt 0.752 0.248 0.000
Pt 0.752 0.752 0.504

Values from the calculation:
E   -5.16 eV per atom
Energy of formation   -5.84 eV/f.u.
Space-group type   No. 139

=====

CaSmGaPt: relaxed, PBE.

Lattice parameters (Å, degrees): 4.246 6.054 6.054 39.08 90.00 90.00
Sites, in units of the cell vectors:
Ca 0.000 0.000 0.000
Sm 0.500 0.711 0.711
Ga 0.500 0.422 0.422
Pt 0.000 0.278 0.278

Values from the calculation:
Relative energy among the computed polymorphs   0.000 eV per atom
E   -4.75 eV per atom
Energy of formation   -3.21 eV/f.u.
Space-group type   No. 38

=====

CaSmGa2Pt2: relaxed, PBE.

Lattice parameters (Å, degrees): 4.431 4.431 7.562 90.00 90.00 120.00
Sites, in units of the cell vectors:
Ca 0.000 0.000 0.000
Sm 0.000 0.000 0.500
Ga 0.333 0.667 0.747
Ga 0.667 0.333 0.253
Pt 0.333 0.667 0.266
Pt 0.667 0.333 0.734

Values from the calculation:
E   -5.10 eV per atom
Energy of formation   -5.75 eV/f.u.
Space-group type   No. 164